(1)
NdSm3Ga2: optimized geometry, PBE-GGA.

The structure in extended XYZ format:
```
12
Lattice="4.6285 0.0000 0.0000 -2.3138 8.8151 0.0000 -0.0099 -3.6779 8.3755" Properties=species:S:1:pos:R:3 pbc="T T T"
Nd -0.0015 1.5603 1.2182
Nd 2.3063 3.5769 7.1573
Sm -0.0125 -1.7244 5.7906
Sm 0.0022 5.3748 0.5830
Sm -0.0039 4.2750 4.3811
Sm 2.3087 0.8622 3.9944
Sm 2.3025 -0.2375 7.7925
Sm 2.3172 6.8616 2.5849
Ga -0.0066 1.4298 5.9289
Ga -0.0086 5.6451 7.1877
Ga 2.3133 -0.5079 1.1878
Ga 2.3113 3.7075 2.4466
```

Summary:
* space-group type: P-1, No. 2
* energy relative to the elements: -341 meV/atom
* E above lowest polymorph: 0.056 eV/atom
* E: -4.50 eV/atom
* V: 28.48 Å³ per atom

(2)
Nd5Sm2Ga4: optimized geometry, PBE-GGA.

The structure in extended XYZ format:
```
11
Lattice="13.2521 -1.8305 0.0000 13.2521 1.8305 0.0000 -0.9859 0.0000 6.8455" Properties=species:S:1:pos:R:3 pbc="T T T"
Nd 0.0000 0.0000 0.0000
Nd 9.8257 0.0000 0.6106
Nd 9.8770 0.0000 4.0940
Nd 15.6413 0.0000 2.7515
Nd 15.6926 0.0000 6.2348
Sm 5.6909 0.0000 1.6732
Sm 19.8274 0.0000 5.1723
Ga 4.2684 0.0000 4.5129
Ga 12.3768 0.0000 2.2599
Ga 13.1416 0.0000 4.5856
Ga 21.2499 0.0000 2.3326
```

Summary:
* space-group type: C2/m, No. 12
* energy relative to the elements: -221 meV/atom
* E: -4.35 eV/atom
* V: 30.19 Å³ per atom

(3)
NdSmGa2: optimized geometry, PBE-GGA.

The structure in extended XYZ format:
```
4
Lattice="4.4603 0.0000 0.0000 0.0000 4.1548 0.0000 -2.2259 0.0000 5.6238" Properties=species:S:1:pos:R:3 pbc="T T T"
Nd 0.0000 0.0000 0.0000
Sm -0.0026 2.0774 3.1564
Ga 2.2323 2.0774 0.7842
Ga 2.2257 0.0000 2.4116
```

Summary:
* space-group type: Pm, No. 6
* energy relative to the elements: -595 meV/atom
* E: -4.48 eV/atom
* V: 26.05 Å³ per atom